Record 1
# SrCd4Sb

SrCd4Sb after structural relaxation (GGA-PBE, Alexandria via LeMat-Bulk).

Cell: 6.107 6.107 6.107 Å, 60.00 60.00 60.00°
Element x y z (fractional)
Cd 0.376 0.376 0.873
Sr 0.000 0.000 0.000
Cd 0.376 0.873 0.376
Cd 0.376 0.376 0.376
Sb 0.750 0.750 0.750
Cd 0.873 0.376 0.376

Results
**Formation energy from raw total energies**: -0.150 eV/atom
**SG**: F-43m (216)
**Density of states at the Fermi level**: 3.6 states/eV per cell

---

Record 2
# Sr2CdSb

Sr2CdSb after structural relaxation (GGA-PBE, Alexandria via LeMat-Bulk).

Cell: 5.786 5.786 5.786 Å, 60.00 60.00 60.00°
Element x y z (fractional)
Cd 0.500 0.500 0.500
Sb 0.750 0.750 0.750
Sr 0.250 0.250 0.250
Sr 0.000 0.000 0.000

Results
**Excess energy over the best structure of this formula in the dataset**: 0.4674 eV per atom
**Formation energy from raw total energies**: -0.249 eV/atom
**SG**: F-43m (216)
**Density of states at the Fermi level**: 2.2 states/eV per cell

---

Record 3
# Sr2CdSb

Sr2CdSb after structural relaxation (GGA-PBE, Alexandria via LeMat-Bulk).

Cell: 4.022 4.313 7.718 Å, 90.00 90.00 90.00°
Element x y z (fractional)
Sb 0.500 0.500 0.750
Cd 0.500 0.500 0.250
Sr 0.000 0.000 0.515
Sr 0.000 0.000 0.985

Results
**Excess energy over the best structure of this formula in the dataset**: 0.0615 eV per atom
**Formation energy from raw total energies**: -0.655 eV/atom
**SG**: Pmmm (47)
**Density of states at the Fermi level**: 1.7 states/eV per cell

---

Number 1: M_tot 0.000 Bohr magnetons per cell. Number 2: M_tot 0.000 Bohr magnetons per cell. Number 3: M_tot 0.000 Bohr magnetons per cell.